Er2Al3Cu4 | GGA-PBE | relaxed

Cell and atoms, written as POSCAR:
```
Er2Al3Cu4
1.0
5.472 0.000 0.000
0.000 7.256 0.000
-2.736 0.000 7.641
Cu Al Er
8 6 4
direct
0.329 0.486 0.657 Cu
0.829 0.014 0.657 Cu
0.681 0.750 0.863 Cu
0.171 0.986 0.343 Cu
0.319 0.250 0.137 Cu
0.819 0.250 0.137 Cu
0.671 0.514 0.343 Cu
0.181 0.750 0.863 Cu
0.016 0.750 0.532 Al
0.000 0.000 0.000 Al
0.484 0.250 0.468 Al
0.984 0.250 0.468 Al
0.500 0.500 0.000 Al
0.516 0.750 0.532 Al
0.898 0.402 0.796 Er
0.602 0.902 0.204 Er
0.398 0.098 0.796 Er
0.102 0.598 0.204 Er
```

Values from the calculation:
formation energy = -352.1 meV per atom
E = -4.43 eV/atom
magnetic moment = 0.00 Bohr magnetons per cell
crystal system = orthorhombic

---

ErAl2Cu3 | GGA-PBE | relaxed

Cell and atoms, written as POSCAR:
```
ErAl2Cu3
1.0
-2.028 2.020 -3.112
-2.166 -2.401 2.725
-1.558 9.727 7.329
Al Cu Er
4 6 2
direct
0.333 0.667 0.925 Al
0.667 0.333 0.075 Al
0.333 0.667 0.575 Al
0.667 0.333 0.425 Al
0.333 0.667 0.367 Cu
0.333 0.667 0.133 Cu
0.667 0.333 0.867 Cu
0.000 0.000 0.500 Cu
0.000 0.000 0.000 Cu
0.667 0.333 0.633 Cu
0.000 0.000 0.250 Er
0.000 0.000 0.750 Er
```

Values from the calculation:
formation energy = -343.6 meV per atom
E = -4.40 eV/atom
magnetic moment = 0.00 Bohr magnetons per cell
E above lowest polymorph = 0 meV/atom
crystal system = hexagonal

---

Er2Al12Cu7 | GGA-PBE | relaxed

Cell and atoms, written as POSCAR:
```
Er2Al12Cu7
1.0
3.908 0.000 0.000
0.000 8.671 -5.006
0.000 0.000 10.013
Cu Al Er
7 12 2
direct
0.756 0.126 0.710 Cu
0.756 0.290 0.415 Cu
0.500 0.000 0.000 Cu
0.244 0.874 0.290 Cu
0.244 0.415 0.126 Cu
0.244 0.710 0.585 Cu
0.756 0.585 0.874 Cu
0.751 0.049 0.434 Al
0.249 0.434 0.385 Al
0.249 0.951 0.566 Al
0.254 0.153 0.887 Al
0.254 0.113 0.265 Al
0.746 0.847 0.113 Al
0.249 0.615 0.049 Al
0.751 0.566 0.615 Al
0.254 0.735 0.847 Al
0.746 0.887 0.735 Al
0.746 0.265 0.153 Al
0.751 0.385 0.951 Al
0.738 0.667 0.333 Er
0.262 0.333 0.667 Er
```

Values from the calculation:
formation energy = -290.1 meV per atom
E = -4.23 eV/atom
magnetic moment = 0.00 Bohr magnetons per cell
crystal system = trigonal

---

Er4AlCu3 | GGA-PBE | relaxed

Cell and atoms, written as POSCAR:
```
Er4AlCu3
1.0
-0.772 3.522 -0.298
-2.233 -0.163 3.860
9.020 2.428 5.319
Er Cu Al
4 3 1
direct
0.000 0.000 0.156 Er
0.000 0.500 0.841 Er
0.500 0.500 0.365 Er
0.500 0.000 0.638 Er
0.000 0.000 0.432 Cu
0.000 0.500 0.570 Cu
0.500 0.000 0.929 Cu
0.500 0.500 0.069 Al
```

Values from the calculation:
formation energy = -276.9 meV per atom
E = -4.56 eV/atom
magnetic moment = 0.00 Bohr magnetons per cell
E above lowest polymorph = 17 meV/atom
crystal system = orthorhombic

---

ErAlCu3 | GGA-PBE | relaxed

Cell and atoms, written as POSCAR:
```
ErAlCu3
1.0
-1.372 3.193 -3.696
8.247 -1.009 -3.933
-4.656 -3.778 1.947
Cu Er Al
6 2 2
direct
0.250 0.936 0.500 Cu
0.309 0.309 0.118 Cu
0.191 0.691 0.882 Cu
0.809 0.309 0.118 Cu
0.750 0.064 0.500 Cu
0.691 0.691 0.882 Cu
0.750 0.758 0.500 Er
0.250 0.242 0.500 Er
0.500 0.000 0.000 Al
0.000 0.500 0.000 Al
```

Values from the calculation:
formation energy = -209.6 meV per atom
E = -4.33 eV/atom
magnetic moment = 0.00 Bohr magnetons per cell
E above lowest polymorph = 0 meV/atom
crystal system = orthorhombic

---

Er3Al7Cu4 | GGA-PBE | relaxed

Cell and atoms, written as POSCAR:
```
Er3Al7Cu4
1.0
4.032 0.000 1.017
1.507 7.427 2.528
0.085 -0.029 8.164
Cu Er Al
4 3 7
direct
0.658 0.457 0.226 Cu
0.123 0.097 0.657 Cu
0.877 0.903 0.343 Cu
0.342 0.543 0.774 Cu
0.309 0.188 0.194 Er
0.691 0.812 0.806 Er
0.000 0.500 0.500 Er
0.324 0.826 0.525 Al
0.000 0.000 0.000 Al
0.843 0.392 0.921 Al
0.157 0.608 0.079 Al
0.495 0.218 0.792 Al
0.505 0.782 0.208 Al
0.676 0.174 0.475 Al
```

Values from the calculation:
formation energy = -447.8 meV per atom
E = -4.47 eV/atom
magnetic moment = 0.00 Bohr magnetons per cell
crystal system = monoclinic

---

ErAl3Cu3 | GGA-PBE | relaxed

Cell and atoms, written as POSCAR:
```
ErAl3Cu3
1.0
-1.834 -1.805 -3.459
-2.520 -5.009 3.950
-5.149 7.175 -1.015
Er Al Cu
2 6 6
direct
0.250 0.571 0.277 Er
0.750 0.429 0.723 Er
0.250 0.999 0.264 Al
0.750 0.001 0.736 Al
0.750 0.250 0.283 Al
0.250 0.243 0.895 Al
0.750 0.757 0.105 Al
0.250 0.750 0.717 Al
0.250 0.656 0.964 Cu
0.750 0.946 0.419 Cu
0.750 0.344 0.036 Cu
0.250 0.054 0.581 Cu
0.750 0.634 0.518 Cu
0.250 0.366 0.482 Cu
```

Values from the calculation:
formation energy = -237.8 meV per atom
E = -4.25 eV/atom
magnetic moment = 0.00 Bohr magnetons per cell
crystal system = monoclinic

---

ErAl4Cu2 | GGA-PBE | relaxed

Cell and atoms, written as POSCAR:
```
ErAl4Cu2
1.0
-2.703 3.037 0.887
-4.761 -4.489 0.860
4.039 -1.163 16.284
Al Er Cu
16 4 8
direct
0.250 0.676 0.686 Al
0.250 0.277 0.692 Al
0.250 0.223 0.192 Al
0.750 0.324 0.314 Al
0.750 0.777 0.808 Al
0.250 0.824 0.186 Al
0.750 0.992 0.071 Al
0.250 0.156 0.532 Al
0.750 0.723 0.308 Al
0.250 0.008 0.929 Al
0.750 0.656 0.968 Al
0.750 0.508 0.571 Al
0.250 0.492 0.429 Al
0.750 0.176 0.814 Al
0.250 0.344 0.032 Al
0.750 0.844 0.468 Al
0.250 0.486 0.861 Er
0.250 0.014 0.361 Er
0.750 0.986 0.639 Er
0.750 0.514 0.139 Er
0.750 0.253 0.961 Cu
0.750 0.028 0.219 Cu
0.250 0.972 0.781 Cu
0.250 0.528 0.281 Cu
0.250 0.747 0.039 Cu
0.750 0.247 0.461 Cu
0.750 0.472 0.719 Cu
0.250 0.753 0.539 Cu
```

Values from the calculation:
formation energy = -367.1 meV per atom
E = -4.33 eV/atom
magnetic moment = 0.00 Bohr magnetons per cell
E above lowest polymorph = 0 meV/atom
crystal system = orthorhombic

---

Er3Al2Cu6 | GGA-PBE | relaxed

Cell and atoms, written as POSCAR:
```
Er3Al2Cu6
1.0
-4.815 0.615 -6.202
0.283 -7.505 2.369
-2.692 4.507 5.871
Er Cu Al
6 12 4
direct
0.722 0.722 0.000 Er
0.722 0.000 0.722 Er
0.000 0.278 0.278 Er
0.278 0.000 0.278 Er
0.278 0.278 0.000 Er
0.000 0.722 0.722 Er
0.334 0.666 0.000 Cu
0.666 0.334 0.000 Cu
0.000 0.334 0.666 Cu
0.666 0.000 0.334 Cu
0.666 0.666 0.332 Cu
0.334 0.000 0.666 Cu
0.000 0.666 0.334 Cu
0.334 0.668 0.334 Cu
0.668 0.334 0.334 Cu
0.332 0.666 0.666 Cu
0.666 0.332 0.666 Cu
0.334 0.334 0.668 Cu
0.500 0.500 0.500 Al
0.000 0.500 0.000 Al
0.500 0.000 0.000 Al
0.000 0.000 0.500 Al
```

Values from the calculation:
formation energy = -344.6 meV per atom
E = -4.50 eV/atom
magnetic moment = 0.00 Bohr magnetons per cell
crystal system = cubic

---

Er2AlCu3 | GGA-PBE | relaxed

Cell and atoms, written as POSCAR:
```
Er2AlCu3
1.0
-2.906 3.732 2.855
-0.119 -4.439 3.288
7.838 2.690 0.313
Cu Al Er
6 2 4
direct
0.168 0.168 0.335 Cu
0.831 0.335 0.166 Cu
0.335 0.831 0.166 Cu
0.169 0.665 0.834 Cu
0.832 0.832 0.665 Cu
0.665 0.169 0.834 Cu
0.666 0.666 0.332 Al
0.334 0.334 0.668 Al
0.242 0.242 0.000 Er
0.250 0.750 0.500 Er
0.750 0.250 0.500 Er
0.758 0.758 0.000 Er
```

Values from the calculation:
formation energy = -299.4 meV per atom
E = -4.49 eV/atom
magnetic moment = 0.00 Bohr magnetons per cell
E above lowest polymorph = 0 meV/atom
crystal system = orthorhombic

---

Er3Al2Cu7 | GGA-PBE | relaxed

Cell and atoms, written as POSCAR:
```
Er3Al2Cu7
1.0
4.991 0.000 1.562
2.251 4.454 1.562
-0.006 -0.004 8.772
Cu Er Al
7 3 2
direct
0.583 0.080 0.753 Cu
0.417 0.417 0.247 Cu
0.500 0.500 0.500 Cu
0.080 0.583 0.753 Cu
0.920 0.417 0.247 Cu
0.417 0.920 0.247 Cu
0.583 0.583 0.753 Cu
0.000 0.000 0.000 Er
0.140 0.140 0.580 Er
0.860 0.860 0.420 Er
0.333 0.333 0.000 Al
0.667 0.667 0.000 Al
```

Values from the calculation:
formation energy = -288.0 meV per atom
E = -4.44 eV/atom
magnetic moment = 0.00 Bohr magnetons per cell
crystal system = trigonal

---

Er2Al6Cu9 | GGA-PBE | relaxed

Cell and atoms, written as POSCAR:
```
Er2Al6Cu9
1.0
5.198 0.000 0.000
-2.599 4.502 0.000
0.000 0.000 12.073
Cu Er Al
9 2 6
direct
0.000 0.500 0.169 Cu
0.000 0.500 0.831 Cu
0.500 0.000 0.169 Cu
0.500 0.500 0.831 Cu
0.000 0.500 0.500 Cu
0.500 0.000 0.500 Cu
0.500 0.000 0.831 Cu
0.500 0.500 0.500 Cu
0.500 0.500 0.169 Cu
0.000 0.000 0.671 Er
0.000 0.000 0.329 Er
0.333 0.667 0.336 Al
0.333 0.667 0.664 Al
0.667 0.333 0.336 Al
0.667 0.333 0.000 Al
0.333 0.667 0.000 Al
0.667 0.333 0.664 Al
```

Values from the calculation:
formation energy = -189.9 meV per atom
E = -4.22 eV/atom
magnetic moment = 0.00 Bohr magnetons per cell
crystal system = hexagonal

---

ErAl3Cu | GGA-PBE | relaxed

Cell and atoms, written as POSCAR:
```
ErAl3Cu
1.0
-3.942 0.927 -0.141
-0.858 -2.463 7.804
2.207 9.905 3.368
Cu Al Er
4 12 4
direct
0.750 0.889 0.362 Cu
0.250 0.111 0.638 Cu
0.750 0.389 0.138 Cu
0.250 0.611 0.862 Cu
0.250 0.356 0.284 Al
0.750 0.939 0.589 Al
0.750 0.144 0.784 Al
0.250 0.061 0.411 Al
0.750 0.109 0.212 Al
0.250 0.891 0.788 Al
0.250 0.856 0.216 Al
0.250 0.391 0.712 Al
0.750 0.439 0.911 Al
0.750 0.609 0.288 Al
0.250 0.561 0.089 Al
0.750 0.644 0.716 Al
0.250 0.178 0.997 Er
0.750 0.822 0.003 Er
0.750 0.322 0.497 Er
0.250 0.678 0.503 Er
```

Values from the calculation:
formation energy = -405.5 meV per atom
E = -4.38 eV/atom
magnetic moment = 0.00 Bohr magnetons per cell
E above lowest polymorph = 14 meV/atom
crystal system = orthorhombic

---

ErAl6Cu3 | GGA-PBE | relaxed

Cell and atoms, written as POSCAR:
```
ErAl6Cu3
1.0
-2.660 -0.466 -3.030
-5.256 -4.211 5.261
-3.578 9.016 1.753
Er Cu Al
2 6 12
direct
0.750 0.987 0.790 Er
0.250 0.013 0.210 Er
0.250 0.794 0.909 Cu
0.250 0.290 0.448 Cu
0.750 0.341 0.836 Cu
0.750 0.710 0.552 Cu
0.750 0.206 0.091 Cu
0.250 0.659 0.164 Cu
0.750 0.810 0.050 Al
0.250 0.358 0.213 Al
0.250 0.506 0.908 Al
0.250 0.589 0.423 Al
0.750 0.411 0.577 Al
0.250 0.190 0.950 Al
0.750 0.642 0.787 Al
0.250 0.903 0.542 Al
0.750 0.494 0.092 Al
0.750 0.097 0.458 Al
0.750 0.784 0.319 Al
0.250 0.216 0.681 Al
```

Values from the calculation:
formation energy = -178.7 meV per atom
E = -4.11 eV/atom
magnetic moment = 0.00 Bohr magnetons per cell
crystal system = monoclinic

---

Er4AlCu3 | GGA-PBE | relaxed

Cell and atoms, written as POSCAR:
```
Er4AlCu3
1.0
-2.712 -2.078 0.534
2.914 -3.184 2.406
-1.898 4.649 8.450
Er Cu Al
4 3 1
direct
0.000 0.500 0.259 Er
0.000 0.000 0.500 Er
0.000 0.500 0.741 Er
0.000 0.000 0.000 Er
0.500 0.000 0.757 Cu
0.500 0.000 0.243 Cu
0.500 0.500 0.500 Cu
0.500 0.500 0.000 Al
```

Values from the calculation:
formation energy = -293.9 meV per atom
E = -4.58 eV/atom
magnetic moment = 0.00 Bohr magnetons per cell
E above lowest polymorph = 0 meV/atom
crystal system = orthorhombic

---

Er3AlCu | GGA-PBE | relaxed

Cell and atoms, written as POSCAR:
```
Er3AlCu
1.0
7.132 0.000 0.000
0.000 8.419 -0.201
0.000 -3.529 8.471
Er Al Cu
12 4 4
direct
0.668 0.892 0.190 Er
0.832 0.973 0.846 Er
0.168 0.027 0.154 Er
0.516 0.286 0.436 Er
0.984 0.786 0.436 Er
0.332 0.108 0.810 Er
0.332 0.527 0.154 Er
0.016 0.214 0.564 Er
0.168 0.608 0.810 Er
0.484 0.714 0.564 Er
0.832 0.392 0.190 Er
0.668 0.473 0.846 Er
0.658 0.050 0.581 Al
0.158 0.450 0.419 Al
0.342 0.950 0.419 Al
0.842 0.550 0.581 Al
0.036 0.339 0.914 Cu
0.464 0.839 0.914 Cu
0.964 0.661 0.086 Cu
0.536 0.161 0.086 Cu
```

Values from the calculation:
formation energy = -175.2 meV per atom
E = -4.48 eV/atom
magnetic moment = 0.00 Bohr magnetons per cell
crystal system = monoclinic

---

Er8AlCu2 | GGA-PBE | relaxed

Cell and atoms, written as POSCAR:
```
Er8AlCu2
1.0
5.233 -0.133 -0.200
-1.059 7.903 -0.262
-1.059 -3.286 7.192
Er Cu Al
8 2 1
direct
0.693 0.388 0.388 Er
0.307 0.612 0.612 Er
0.910 0.673 0.919 Er
0.910 0.919 0.673 Er
0.500 0.764 0.236 Er
0.500 0.236 0.764 Er
0.090 0.081 0.327 Er
0.090 0.327 0.081 Er
0.000 0.308 0.692 Cu
0.000 0.692 0.308 Cu
0.500 0.000 0.000 Al
```

Values from the calculation:
formation energy = -45.8 meV per atom
E = -4.45 eV/atom
magnetic moment = 0.00 Bohr magnetons per cell
crystal system = monoclinic

---

ErAl6Cu6 | GGA-PBE | relaxed

Cell and atoms, written as POSCAR:
```
ErAl6Cu6
1.0
-4.999 0.735 0.654
-2.605 -4.072 4.509
-1.328 4.391 4.759
Al Cu Er
6 6 1
direct
0.652 0.348 0.348 Al
0.348 0.652 0.652 Al
0.700 0.800 0.800 Al
0.000 0.346 0.654 Al
0.300 0.200 0.200 Al
0.000 0.654 0.346 Al
0.500 0.231 0.769 Cu
0.500 0.769 0.231 Cu
0.500 0.500 0.000 Cu
0.500 0.000 0.500 Cu
0.000 0.500 0.000 Cu
0.000 0.000 0.500 Cu
0.000 0.000 0.000 Er
```

Values from the calculation:
formation energy = -359.0 meV per atom
E = -4.33 eV/atom
magnetic moment = 0.00 Bohr magnetons per cell
crystal system = orthorhombic